# BiPdRh2

An optimized crystal structure of BiPdRh2 (GGA-PBE, Alexandria via LeMat-Bulk).

Geometry as extended XYZ:
```
8
Lattice="3.963 0.000 0.000 0.000 3.963 0.000 1.981 1.981 9.517" Properties=species:S:1:pos:R:3 pbc="T T T"
Rh 2.815 0.991 2.379
Rh 1.148 2.972 2.379
Rh 2.972 3.129 7.138
Rh 4.953 4.797 7.138
Bi 0.000 0.000 0.000
Bi 3.963 1.981 4.759
Pd 1.981 1.981 0.000
Pd 1.981 3.963 4.759
```

Energy of formation from the pure elements, eV/atom: 0.2389
Total moment, μB/f.u.: 0.00
Space-group type: I-42d (122)
VASP energy, eV per atom: -5.7053